The following is a DFT calculation (PBE) of Ba3CdPd after structural relaxation.

Structure (CIF):
```
data_Ba3CdPd
_cell_length_a 6.197
_cell_length_b 6.197
_cell_length_c 6.197
_cell_angle_alpha 90.00
_cell_angle_beta 90.00
_cell_angle_gamma 90.00
_space_group_name_H-M_alt 'P m -3 m'
_space_group_IT_number 221
_space_group_name_Hall '-P 4 2 3'
loop_
_atom_site_label
_atom_site_fract_x
_atom_site_fract_y
_atom_site_fract_z
Ba1 0.000 0.000 0.500
Cd1 0.500 0.500 0.500
Pd1 0.000 0.000 0.000
```

## Properties
Distance to the lowest polymorph of the same formula ... 0.405 eV/f.u.
ΔH_f (0 K) ... -0.254 eV per atom
M_tot ... 0.00 μB per atom

=====

The following is a DFT calculation (PBE) of BeSb2TeMo after structural relaxation.

Structure (CIF):
```
data_BeSb2TeMo
_cell_length_a 4.805
_cell_length_b 4.805
_cell_length_c 5.092
_cell_angle_alpha 90.00
_cell_angle_beta 90.00
_cell_angle_gamma 90.00
_space_group_name_H-M_alt 'P 4/m m m'
_space_group_IT_number 123
_space_group_name_Hall '-P 4 2'
loop_
_atom_site_label
_atom_site_fract_x
_atom_site_fract_y
_atom_site_fract_z
Be1 0.000 0.000 0.000
Sb1 0.000 0.500 0.000
Te1 0.000 0.000 0.500
Mo1 0.500 0.500 0.500
```

## Properties
Distance to the lowest polymorph of the same formula ... 0.000 eV/f.u.
Formation energy (no corrections) ... 0.957 eV per atom
M_tot ... 0.66 μB per atom

=====

The following is a DFT calculation (PBE) of SrVSCl2 after structural relaxation.

Structure (CIF):
```
data_SrVSCl2
_cell_length_a 4.808
_cell_length_b 4.808
_cell_length_c 5.018
_cell_angle_alpha 90.00
_cell_angle_beta 90.00
_cell_angle_gamma 90.00
_space_group_name_H-M_alt 'P 4/m m m'
_space_group_IT_number 123
_space_group_name_Hall '-P 4 2'
loop_
_atom_site_label
_atom_site_fract_x
_atom_site_fract_y
_atom_site_fract_z
Sr1 0.000 0.000 0.000
V1 0.500 0.500 0.500
S1 0.500 0.500 0.000
Cl1 0.000 0.500 0.500
```

## Properties
Distance to the lowest polymorph of the same formula ... 0.000 eV/f.u.
Formation energy (no corrections) ... -1.383 eV per atom
M_tot ... 0.60 μB per atom

=====

The following is a DFT calculation (PBE) of Ta2CoSe after structural relaxation.

Structure (CIF):
```
data_Ta2CoSe
_cell_length_a 3.230
_cell_length_b 3.230
_cell_length_c 6.188
_cell_angle_alpha 90.00
_cell_angle_beta 90.00
_cell_angle_gamma 90.00
_space_group_name_H-M_alt 'P 4 m m'
_space_group_IT_number 99
loop_
_space_group_symop_operation_xyz
'x,y,z'
'-y,x,z'
'-x,-y,z'
'y,-x,z'
'-x,y,z'
'y,x,z'
'x,-y,z'
'-y,-x,z'
loop_
_atom_site_label
_atom_site_fract_x
_atom_site_fract_y
_atom_site_fract_z
Ta1 0.000 0.000 0.000
Ta2 0.500 0.500 0.312
Co1 0.000 0.000 0.488
Se1 0.500 0.500 0.768
```

## Properties
Formation energy (no corrections) ... -0.140 eV per atom
M_tot ... 0.00 μB per atom